A plane-wave DFT calculation with PBE-GGA was carried out for an optimized crystal structure of LiPPt2.

Cell and atoms, written as POSCAR:
```
LiPPt2
1.0
-1.569 2.013 4.554
1.569 -2.013 4.554
1.569 2.013 -4.554
Li P Pt
1 1 2
direct
0.000 0.000 0.000
0.252 0.752 0.500
0.445 0.445 0.000
0.708 0.208 0.500
```

Results
Symmetry ... Imm2 (44)
Energy relative to the elements ... -0.471 eV/atom